Here is a geometry-optimized RbMnF3 structure from Alexandria. Energies are from GGA+U.

Computed properties:
The calculation puts the total energy at -0.3961 Ry per atom.

Lattice parameters (Å, degrees): 3.322 7.418 11.377 90.00 90.00 90.00
Space group Amm2 (No. 38)
Unique sites:
Rb 0.000 0.000 0.000 (multiplicity 2)
Mn 0.500 0.000 0.353 (multiplicity 2)
F 0.000 0.176 0.392 (multiplicity 4)
F 0.500 0.000 0.177 (multiplicity 2)